Entry a
Computed, not measured: a relaxed RbV3O crystal at the PBE with a Hubbard U level of DFT. Values from VASP.

Cell and atoms, written as Quantum ESPRESSO input:
```
&SYSTEM
  ibrav = 0, nat = 5, ntyp = 3
/
ATOMIC_SPECIES
Rb 85.47 Rb.upf
V 50.94 V.upf
O 16.00 O.upf
CELL_PARAMETERS angstrom
4.722 0.000 0.000
0.000 4.722 0.000
0.000 0.000 4.722
ATOMIC_POSITIONS angstrom
Rb 0.000 0.000 0.000
V 0.000 2.361 2.361
V 2.361 0.000 2.361
V 2.361 2.361 0.000
O 2.361 2.361 2.361
```

---

Entry b
Computed, not measured: a relaxed RbV3O crystal at the PBE with a Hubbard U level of DFT. Values from VASP.

Cell and atoms, written as Quantum ESPRESSO input:
```
&SYSTEM
  ibrav = 0, nat = 5, ntyp = 3
/
ATOMIC_SPECIES
Rb 85.47 Rb.upf
V 50.94 V.upf
O 16.00 O.upf
CELL_PARAMETERS angstrom
5.742 0.000 0.000
0.000 5.742 0.000
0.000 0.000 5.742
ATOMIC_POSITIONS angstrom
Rb 0.000 0.000 0.000
V 0.000 0.000 2.871
V 0.000 2.871 0.000
V 2.871 0.000 0.000
O 2.871 2.871 2.871
```

---

Stability order, top to bottom: entry a, entry b